# GGA-PBE PrGaCu2Ir, optimized geometry
data_PrGaCu2Ir
_symmetry_space_group_name_H-M 'P 1'
_symmetry_Int_Tables_number 1
_symmetry_space_group_name_Hall 'P 1'
_cell_length_a 3.9808
_cell_length_b 4.1511
_cell_length_c 6.2167
_cell_angle_alpha 109.50
_cell_angle_beta 108.67
_cell_angle_gamma 90.00
loop_
_atom_site_label
_atom_site_type_symbol
_atom_site_fract_x
_atom_site_fract_y
_atom_site_fract_z
_atom_site_occupancy
Pr1 Pr 0.4387 0.4387 0.8774 1
Ga1 Ga 0.1902 0.6902 0.3803 1
Cu1 Cu 0.6933 0.1933 0.3866 1
Cu2 Cu 0.0590 0.0590 0.1179 1
Ir1 Ir 0.8311 0.8311 0.6621 1
# Total DFT energy (no corrections)   -5.32 eV/atom
# Total moment   0.00 μB per atom
# Space-group type   Imm2